Cu2MoW, relaxed, DFT GGA-PBE; total magnetization = 0.00 μB/f.u.; excess energy over the best structure of this formula in the dataset = 0.287 eV/atom; calculated total energy = -30.08 eV for the cell shown; formation energy from the elements = 0.473 eV per atom; SG = F-43m, No. 216; crystal system = cubic
1.0
4.346 0.000 0.000
2.173 3.764 0.000
2.173 1.255 3.549
Cu Mo W
2 1 1
Direct
0.000 0.000 0.000
0.250 0.250 0.250
0.500 0.500 0.500
0.750 0.750 0.750



Nd3Cd2Ag, relaxed, DFT GGA-PBE; total magnetization = 0.72 μB/f.u.; calculated total energy = -20.77 eV for the cell shown; formation energy from the elements = -0.297 eV per atom; SG = P4/mmm, No. 123; crystal system = tetragonal
1.0
-3.696 -0.861 0.497
0.608 -3.473 -1.490
2.347 -4.061 10.419
Nd Cd Ag
3 2 1
Direct
0.000 0.000 0.000
0.000 0.000 0.662
0.000 0.000 0.338
0.500 0.500 0.833
0.500 0.500 0.167
0.500 0.500 0.500



CaOsPt, relaxed, DFT GGA-PBE; total magnetization = 2.17 μB/f.u.; excess energy over the best structure of this formula in the dataset = 0.442 eV/atom; calculated total energy = -17.71 eV for the cell shown; formation energy from the elements = 0.522 eV per atom; SG = F-43m, No. 216; crystal system = cubic
1.0
-3.023 0.192 -3.358
0.152 -3.029 -3.356
-3.212 -3.167 -0.335
Ca Os Pt
1 1 1
Direct
0.000 0.000 0.000
0.500 0.500 0.500
0.750 0.750 0.750



Nd6TlOs2Br3, relaxed, DFT GGA-PBE; total magnetization = 0.00 μB/f.u.; calculated total energy = -67.05 eV for the cell shown; raw formation energy = -0.717 eV/atom; SG = C2/m, No. 12; crystal system = monoclinic
1.0
-1.411 -0.978 3.736
7.621 -5.039 1.559
2.707 10.055 1.393
Nd Tl Os Br
6 1 2 3
Direct
0.334 0.861 0.669
0.684 0.576 0.368
0.666 0.139 0.331
0.036 0.274 0.072
0.964 0.726 0.928
0.316 0.424 0.632
0.500 0.000 0.000
0.828 0.648 0.656
0.172 0.352 0.344
0.500 0.500 0.000
0.826 0.151 0.652
0.174 0.849 0.348



KLiCd2Hg5, relaxed, DFT GGA-PBE; total magnetization = 0.00 μB/f.u.; calculated total energy = -7.21 eV for the cell shown; formation energy from the elements = -0.096 eV per atom; SG = Immm, No. 71; crystal system = orthorhombic
1.0
5.275 0.000 0.000
0.000 6.692 0.000
-2.638 -3.346 7.525
K Li Cd Hg
1 1 2 5
Direct
0.000 0.500 0.000
0.500 0.000 0.000
0.191 0.191 0.382
0.809 0.809 0.618
0.644 0.886 0.288
0.356 0.114 0.712
0.356 0.599 0.712
0.644 0.401 0.288
0.000 0.000 0.000



In3SnHg3Pb2, relaxed, DFT GGA-PBE; total magnetization = 0.00 μB/f.u.; calculated total energy = -20.17 eV for the cell shown; formation energy from the elements = 0.042 eV per atom; SG = P-62m, No. 189; crystal system = hexagonal
1.0
-1.907 -2.808 -0.872
4.614 -0.695 -7.846
2.987 -4.345 7.452
In Sn Hg Pb
3 1 3 2
Direct
0.500 0.710 0.000
0.500 0.000 0.710
0.500 0.290 0.290
0.000 0.000 0.000
0.000 0.634 0.634
0.000 0.000 0.366
0.000 0.366 0.000
0.500 0.667 0.333
0.500 0.333 0.667